Model P:
DFT (GGA-PBE) results for crystalline Pu4Se5 at its relaxed geometry.

a = 3.5230 Å, b = 9.6768 Å, c = 11.7835 Å
α = 90.00°, β = 90.00°, γ = 90.00°
With the nearest neighbours (Å) after each atom.
Space group Immm (No. 71)
One atom of each set of equivalent atoms:
Pu: 0.0000 0.2131 0.1884 x8  2 Pu 2.39
Se: 0.0000 0.2252 0.5000 x4  1 Se 2.66, 4 Pu 2.90
Se: 0.0000 0.5000 0.2024 x4  6 Pu 2.78-3.00
Se: 0.0000 0.5000 0.5000 x2  2 Se 2.66

Model Q:
DFT (GGA-PBE) results for crystalline Pu4Se5 at its relaxed geometry.

a = 11.6939 Å, b = 11.6939 Å, c = 3.9997 Å
α = 90.00°, β = 90.00°, γ = 90.00°
With the nearest neighbours (Å) after each atom.
Space group I4/m (No. 87)
One atom of each set of equivalent atoms:
Pu: 0.0952 0.7834 0.0000 x8  6 Se 2.77-3.03
Se: 0.0000 0.0000 0.0000 x2  4 Pu 2.77
Se: 0.0934 0.2456 0.5000 x8  5 Pu 2.90-3.03

So which one is most stable? That would be model Q, about 81.5 kJ/mol of atoms below the next structure.

Model P:
DFT (GGA-PBE) results for crystalline Pu3Se5 at its relaxed geometry.

a = 6.7984 Å, b = 15.3619 Å, c = 7.8038 Å
α = 90.00°, β = 104.33°, γ = 90.00°
With the nearest neighbours (Å) after each atom.
Space group C2/m (No. 12)
One atom of each set of equivalent atoms:
Pu: 0.0000 0.1558 0.0000 x4  8 Se 2.91-3.07
Pu: 0.0000 0.2451 0.5000 x4  8 Se 2.92-3.06
Pu: 0.0706 0.5000 0.2957 x4  8 Se 2.82-3.11
Se: 0.1759 0.3121 0.2003 x8  5 Pu 2.92-3.11
Se: 0.2291 0.1066 0.3775 x8  5 Pu 2.93-3.07, 1 Se 3.28
Se: 0.2380 0.0000 0.9862 x4  4 Pu 2.82-2.91

Model Q:
DFT (GGA-PBE) results for crystalline Pu3Se5 at its relaxed geometry.

a = 8.8363 Å, b = 8.8363 Å, c = 5.7030 Å
α = 90.00°, β = 90.00°, γ = 120.00°
With the nearest neighbours (Å) after each atom.
Space group P6_3/mcm (No. 193)
One atom of each set of equivalent atoms:
Pu: 0.0000 0.3651 0.2500 x6  9 Se 2.92-3.16
Se: 0.0000 0.2776 0.7500 x6  5 Pu 2.92-3.16
Se: 0.3333 0.6667 0.0000 x4  2 Se 2.85, 6 Pu 3.16

So which one is most stable? That would be model Q, about 2.0 kJ/mol of atoms below the next structure.

Model P:
DFT (GGA-PBE) results for crystalline Pu3Se at its relaxed geometry.

a = 3.6188 Å, b = 10.1046 Å, c = 5.2515 Å
α = 90.00°, β = 90.00°, γ = 90.00°
With the nearest neighbours (Å) after each atom.
Space group Imm2 (No. 44)
One atom of each set of equivalent atoms:
Pu: 0.0000 0.0000 0.0000 x2  2 Pu 2.98, 4 Se 3.05-3.33
Pu: 0.0000 0.2267 0.6358 x4  5 Pu 2.98-3.22, 3 Se 3.05-3.27
Se: 0.0000 0.5000 0.9686 x2  10 Pu 3.05-3.33

Model Q:
DFT (GGA-PBE) results for crystalline Pu3Se at its relaxed geometry.

a = 4.5244 Å, b = 4.5244 Å, c = 4.5244 Å
α = 90.00°, β = 90.00°, γ = 90.00°
With the nearest neighbours (Å) after each atom.
Space group Pm-3m (No. 221)
One atom of each set of equivalent atoms:
Pu: 0.0000 0.0000 0.5000 x3  4 Se 3.20, 8 Pu 3.20
Se: 0.5000 0.5000 0.5000 x1  12 Pu 3.20

So which one is most stable? That would be model P, about 6.2 kJ/mol of atoms below the next structure.

Model P:
DFT (GGA-PBE) results for crystalline SmPuSe2 at its relaxed geometry.

a = 4.0807 Å, b = 4.0807 Å, c = 14.2239 Å
α = 90.00°, β = 90.00°, γ = 120.00°
With the nearest neighbours (Å) after each atom.
Space group P6_3/mmc (No. 194)
One atom of each set of equivalent atoms:
Sm: 0.0000 0.0000 0.0000 x2  6 Se 2.94
Pu: 0.3333 0.6667 0.2500 x2  6 Se 2.97
Se: 0.3333 0.6667 0.6232 x4  3 Sm 2.94, 3 Pu 2.97

Model Q:
DFT (GGA-PBE) results for crystalline SmPuSe2 at its relaxed geometry.

a = 4.0282 Å, b = 4.0282 Å, c = 21.9681 Å
α = 90.00°, β = 90.00°, γ = 120.00°
With the nearest neighbours (Å) after each atom.
Space group R3m (No. 160, hexagonal axes)
One atom of each set of equivalent atoms:
Sm: 0.0000 0.0000 0.0000 x3  6 Se 2.94-3.03
Pu: 0.0000 0.0000 0.8258 x3  6 Se 2.88-2.99
Se: 0.0000 0.0000 0.2448 x3  3 Pu 2.99, 3 Sm 3.03
Se: 0.0000 0.0000 0.4152 x3  3 Pu 2.88, 3 Sm 2.94

So which one is most stable? That would be model P, about 3.1 kJ/mol of atoms below the next structure.

Model P:
DFT (GGA-PBE) results for crystalline SmPuSe2 at its relaxed geometry.

a = 5.8760 Å, b = 5.8760 Å, c = 11.7762 Å
α = 90.00°, β = 90.00°, γ = 90.00°
With the nearest neighbours (Å) after each atom.
Space group I4_1/amd (No. 141, origin choice 2)
One atom of each set of equivalent atoms:
Sm: 0.0000 0.2500 0.3750 x4  6 Se 2.94-2.97
Pu: 0.0000 0.2500 0.8750 x4  6 Se 2.92-2.94
Se: 0.0000 0.2500 0.1228 x8  3 Pu 2.92-2.94, 3 Sm 2.94-2.97

Model Q:
DFT (GGA-PBE) results for crystalline SmPuSe2 at its relaxed geometry.

a = 5.1195 Å, b = 5.1195 Å, c = 3.5858 Å
α = 90.00°, β = 90.00°, γ = 90.00°
With the nearest neighbours (Å) after each atom.
Space group P4/mmm (No. 123)
One atom of each set of equivalent atoms:
Sm: 0.0000 0.0000 0.0000 x1  8 Se 3.13
Pu: 0.5000 0.5000 0.0000 x1  8 Se 3.13
Se: 0.0000 0.5000 0.5000 x2  4 Sm 3.13, 4 Pu 3.13

So which one is most stable? That would be model P, about 25.4 kJ/mol of atoms below the next structure.

Model P:
DFT (GGA-PBE) results for crystalline Pu2SnSe at its relaxed geometry.

a = 4.0875 Å, b = 4.0875 Å, c = 23.2427 Å
α = 90.00°, β = 90.00°, γ = 120.00°
With the nearest neighbours (Å) after each atom.
Space group R-3m (No. 166, hexagonal axes)
One atom of each set of equivalent atoms:
Pu: 0.0000 0.0000 0.2412 x6  3 Se 2.93, 3 Sn 3.19
Sn: 0.0000 0.0000 0.0000 x3  6 Pu 3.19
Se: 0.0000 0.0000 0.5000 x3  6 Pu 2.93

Model Q:
DFT (GGA-PBE) results for crystalline Pu2SnSe at its relaxed geometry.

a = 3.4676 Å, b = 3.4676 Å, c = 8.1649 Å
α = 90.00°, β = 90.00°, γ = 90.00°
With the nearest neighbours (Å) after each atom.
Space group P4/mmm (No. 123)
One atom of each set of equivalent atoms:
Pu: 0.0000 0.0000 0.2249 x2  4 Se 3.06, 4 Sn 3.33
Sn: 0.5000 0.5000 0.5000 x1  8 Pu 3.33, 4 Sn 3.47
Se: 0.5000 0.5000 0.0000 x1  8 Pu 3.06

So which one is most stable? That would be model Q, about 5.9 kJ/mol of atoms below the next structure.

Model P:
DFT (GGA-PBE) results for crystalline SrPuSe2 at its relaxed geometry.

a = 4.2862 Å, b = 4.2862 Å, c = 21.2599 Å
α = 90.00°, β = 90.00°, γ = 120.00°
With the nearest neighbours (Å) after each atom.
Space group R-3m (No. 166, hexagonal axes)
One atom of each set of equivalent atoms:
Sr: 0.0000 0.0000 0.0000 x3  6 Se 3.11
Pu: 0.0000 0.0000 0.5000 x3  6 Se 2.98
Se: 0.0000 0.0000 0.2448 x6  3 Pu 2.98, 3 Sr 3.11

Model Q:
DFT (GGA-PBE) results for crystalline SrPuSe2 at its relaxed geometry.

a = 4.2740 Å, b = 4.2740 Å, c = 21.1841 Å
α = 90.00°, β = 90.00°, γ = 120.00°
With the nearest neighbours (Å) after each atom.
Space group P-3m1 (No. 164)
One atom of each set of equivalent atoms:
Sr: 0.0000 0.0000 0.0000 x1  6 Se 3.10
Sr: 0.3333 0.6667 0.1761 x2  6 Se 3.09-3.11
Pu: 0.0000 0.0000 0.5000 x1  6 Se 2.97
Pu: 0.3333 0.6667 0.6547 x2  6 Se 2.95-2.99
Se: 0.0000 0.0000 0.2657 x2  3 Pu 2.99, 3 Sr 3.11
Se: 0.3333 0.6667 0.4219 x2  6 Pu 2.95-2.97
Se: 0.3333 0.6667 0.9116 x2  6 Sr 3.09-3.10

So which one is most stable? That would be model Q, about 1.6 kJ/mol of atoms below the next structure.

Model P:
DFT (GGA-PBE) results for crystalline TbPuSe3 at its relaxed geometry.

a = 11.2504 Å, b = 4.0776 Å, c = 10.9109 Å
α = 90.00°, β = 90.00°, γ = 90.00°
With the nearest neighbours (Å) after each atom.
Space group Pnma (No. 62)
One atom of each set of equivalent atoms:
Tb: 0.1921 0.2500 0.0051 x4  7 Se 2.97-3.01
Pu: 0.0064 0.2500 0.6871 x4  7 Se 2.89-2.97
Se: 0.0484 0.7500 0.8743 x4  2 Pu 2.93, 3 Tb 2.97-3.01
Se: 0.1232 0.2500 0.4439 x4  3 Pu 2.89-2.96, 2 Tb 2.99
Se: 0.2297 0.7500 0.1993 x4  2 Pu 2.93-2.97, 2 Tb 2.97, 1 Se 3.24

Model Q:
DFT (GGA-PBE) results for crystalline TbPuSe3 at its relaxed geometry.

a = 4.0715 Å, b = 7.0625 Å, c = 9.0642 Å
α = 90.00°, β = 90.00°, γ = 90.00°
With the nearest neighbours (Å) after each atom.
Space group Pmmn (No. 59, origin choice 2)
One atom of each set of equivalent atoms:
Tb: 0.2500 0.2500 0.1018 x2  7 Se 2.87-3.02
Pu: 0.2500 0.7500 0.3466 x2  6 Se 2.84-3.05
Se: 0.2500 0.0227 0.8298 x4  3 Tb 2.87-2.94, 2 Pu 3.05, 1 Se 3.21
Se: 0.2500 0.2500 0.4345 x2  2 Pu 2.84, 1 Tb 3.02

So which one is most stable? That would be model P, about 5.7 kJ/mol of atoms below the next structure.

Model P:
DFT (GGA-PBE) results for crystalline TbPu2Se4 at its relaxed geometry.

a = 8.2782 Å, b = 8.2798 Å, c = 11.5236 Å
α = 90.00°, β = 90.00°, γ = 90.00°
With the nearest neighbours (Å) after each atom.
Space group Imma (No. 74)
One atom of each set of equivalent atoms:
Tb: 0.2500 0.2500 0.2500 x4  6 Se 2.87-2.91
Pu: 0.0000 0.0000 0.0000 x4  6 Se 2.89-2.93
Pu: 0.2500 0.2500 0.7500 x4  6 Se 2.90-2.94
Se: 0.0000 0.0027 0.2544 x8  2 Tb 2.91, 3 Pu 2.93-2.94
Se: 0.2429 0.2500 0.0012 x8  1 Tb 2.87, 3 Pu 2.89-2.90

Model Q:
DFT (GGA-PBE) results for crystalline TbPu2Se4 at its relaxed geometry.

a = 4.0182 Å, b = 13.6074 Å, c = 13.9098 Å
α = 90.00°, β = 90.00°, γ = 90.00°
With the nearest neighbours (Å) after each atom.
Space group Cmcm (No. 63)
One atom of each set of equivalent atoms:
Tb: 0.0000 0.1210 0.2500 x4  6 Se 2.87-2.99
Pu: 0.0000 0.3666 0.0686 x8  6 Se 2.87-2.95
Se: 0.0000 0.0000 0.0000 x4  4 Pu 2.87
Se: 0.0000 0.2780 0.6252 x8  3 Pu 2.92-2.95, 2 Tb 2.99
Se: 0.0000 0.4702 0.2500 x4  2 Tb 2.87, 2 Pu 2.89

So which one is most stable? That would be model P, about 2.1 kJ/mol of atoms below the next structure.